Entry from the Alexandria database: a relaxed structure of BPdPt2Pb (PBE-GGA).

Summary:
E_form: -0.111 eV/atom
energy: -0.207 Ha/atom
mass density: 14.27 g/cm³
crystal system: tetragonal

```
data_BPdPt2Pb
_chemical_formula_sum 'B1 Pd1 Pt2 Pb1'
_symmetry_space_group_name_H-M 'P 4/m m m'
_symmetry_Int_Tables_number 123
_symmetry_space_group_name_Hall '-P 4 2'
_cell_length_a 4.237
_cell_length_b 4.237
_cell_length_c 4.631
_cell_angle_alpha 90.00
_cell_angle_beta 90.00
_cell_angle_gamma 90.00
loop_
_atom_site_label
_atom_site_fract_x
_atom_site_fract_y
_atom_site_fract_z
B1 0.000 0.000 0.000
Pd1 0.000 0.000 0.500
Pt1 0.000 0.500 0.000
Pb1 0.500 0.500 0.500
```